No. 1
Sr2CaTmS4 | the Alexandria database | PBE-GGA | relaxed; space group = No. 10; raw total energy = -0.3942 Ry/atom
1.0
4.070 0.000 0.000
0.000 7.067 0.129
0.000 -2.464 6.693
Sr Ca Tm S
2 1 1 4
Direct
0.500 0.000 0.500
0.000 0.500 0.500
0.500 0.500 0.000
0.000 0.000 0.000
0.500 0.235 0.226
0.500 0.765 0.774
0.000 0.249 0.770
0.000 0.751 0.230


No. 2
CaLa2PdO6 | the Alexandria database | PBE-GGA | relaxed; space group = No. 14; raw total energy = -0.5261 Ry/atom
1.0
5.715 0.000 -0.043
0.000 5.982 0.000
-0.012 0.000 8.217
Ca La Pd O
2 4 2 12
Direct
0.500 0.000 0.000
0.000 0.500 0.500
0.018 0.942 0.252
0.518 0.558 0.752
0.982 0.058 0.748
0.482 0.442 0.248
0.500 0.000 0.500
0.000 0.500 0.000
0.289 0.686 0.055
0.789 0.814 0.555
0.711 0.314 0.945
0.211 0.186 0.445
0.320 0.716 0.435
0.820 0.784 0.935
0.680 0.284 0.565
0.180 0.216 0.065
0.886 0.548 0.233
0.386 0.952 0.733
0.114 0.452 0.767
0.614 0.048 0.267


No. 3
K4SmPu3Se8 | the Alexandria database | PBE-GGA | relaxed; space group = No. 12; raw total energy = -0.4788 Ry/atom
1.0
8.599 0.000 0.000
0.000 9.107 0.333
-4.299 -4.308 6.109
K Sm Pu Se
4 1 3 8
Direct
0.500 0.000 0.000
0.500 0.000 0.500
0.000 0.000 0.000
0.000 0.000 0.500
0.000 0.500 0.000
0.500 0.500 0.000
0.500 0.500 0.500
0.000 0.500 0.500
0.236 0.707 0.972
0.236 0.706 0.472
0.264 0.296 0.529
0.735 0.707 0.972
0.265 0.293 0.028
0.736 0.704 0.471
0.764 0.294 0.528
0.764 0.293 0.028


No. 4
HfZrCu2 | the Alexandria database | PBE-GGA | relaxed; space group = No. 225; relative energy among the computed polymorphs = 4 meV per atom
1.0
0.000 3.258 3.258
3.258 0.000 3.258
3.258 3.258 0.000
Hf Cu Zr
1 2 1
Direct
0.500 0.500 0.500
0.250 0.250 0.250
0.750 0.750 0.750
0.000 0.000 0.000


No. 5
Pb3SeI | the Alexandria database | PBE-GGA | relaxed; space group = No. 221; relative energy among the computed polymorphs = 604 meV per atom
1.0
-2.471 -5.227 1.671
1.924 -2.541 -5.105
5.140 -1.562 2.714
Pb I Se
3 1 1
Direct
0.000 0.500 0.000
0.000 0.000 0.500
0.500 0.000 0.000
0.000 0.000 0.000
0.500 0.500 0.500


No. 6
RbLa3H | the Alexandria database | PBE-GGA | relaxed; space group = No. 221; relative energy among the computed polymorphs = 0 meV per atom
1.0
5.449 0.000 0.000
0.000 5.449 0.000
0.000 0.000 5.449
H Rb La
1 1 3
Direct
0.000 0.000 0.000
0.500 0.500 0.500
0.000 0.500 0.000
0.000 0.000 0.500
0.500 0.000 0.000


No. 7
Pm3Y5H12 | the Alexandria database | PBE-GGA | relaxed; space group = No. 230; raw total energy = -0.3542 Ry/atom
1.0
-10.389 -1.972 4.494
6.913 -8.886 2.292
4.407 9.565 4.593
Pm Y H
12 20 48
Direct
0.750 0.375 0.125
0.875 0.750 0.125
0.375 0.750 0.625
0.250 0.125 0.375
0.875 0.125 0.250
0.375 0.625 0.250
0.625 0.375 0.750
0.125 0.875 0.750
0.750 0.875 0.625
0.625 0.250 0.375
0.125 0.250 0.875
0.250 0.625 0.875
0.125 0.375 0.250
0.000 0.500 0.000
0.000 0.000 0.000
0.375 0.250 0.125
0.500 0.000 0.500
0.500 0.500 0.000
0.125 0.750 0.375
0.750 0.125 0.875
0.750 0.625 0.375
0.375 0.125 0.750
0.625 0.875 0.250
0.500 0.500 0.500
0.500 0.000 0.000
0.000 0.000 0.500
0.250 0.375 0.625
0.250 0.875 0.125
0.000 0.500 0.500
0.875 0.250 0.625
0.625 0.750 0.875
0.875 0.625 0.750
0.721 0.148 0.061
0.340 0.561 0.413
0.939 0.352 0.279
0.561 0.221 0.148
0.573 0.721 0.660
0.939 0.587 0.160
0.340 0.779 0.427
0.087 0.927 0.148
0.587 0.939 0.660
0.721 0.573 0.160
0.779 0.439 0.352
0.840 0.913 0.061
0.148 0.721 0.561
0.352 0.413 0.073
0.073 0.913 0.352
0.427 0.148 0.587
0.073 0.160 0.221
0.439 0.660 0.087
0.840 0.927 0.279
0.148 0.427 0.087
0.352 0.939 0.779
0.587 0.648 0.427
0.913 0.840 0.561
0.779 0.340 0.927
0.413 0.352 0.573
0.087 0.160 0.439
0.221 0.660 0.073
0.160 0.073 0.721
0.648 0.061 0.221
0.852 0.573 0.913
0.561 0.340 0.913
0.573 0.852 0.413
0.927 0.840 0.779
0.927 0.087 0.648
0.852 0.279 0.439
0.160 0.087 0.939
0.648 0.587 0.927
0.413 0.061 0.340
0.279 0.427 0.840
0.221 0.561 0.648
0.913 0.073 0.852
0.660 0.221 0.573
0.439 0.779 0.852
0.061 0.413 0.840
0.427 0.279 0.340
0.061 0.648 0.721
0.660 0.439 0.587
0.279 0.852 0.939


No. 8
Pr2NdY3Er6 | the Alexandria database | PBE-GGA | relaxed; space group = No. 12; raw total energy = -0.3725 Ry/atom
1.0
6.197 0.001 0.009
-3.096 5.368 0.009
-1.047 -1.813 11.608
Pr Nd Y Er
2 1 3 6
Direct
0.333 0.667 0.000
0.667 0.333 0.000
0.000 0.000 0.000
0.167 0.833 0.500
0.833 0.167 0.500
0.500 0.500 0.500
0.915 0.582 0.747
0.752 0.752 0.253
0.085 0.418 0.253
0.582 0.915 0.747
0.248 0.248 0.747
0.418 0.085 0.253


No. 9
TcNi4Ir | the Alexandria database | PBE-GGA | relaxed; space group = No. 36; relative energy among the computed polymorphs = 0 meV per atom
1.0
-3.230 -1.390 -0.968
3.906 -4.126 -0.237
-1.384 -1.716 7.081
Tc Ni Ir
2 8 2
Direct
0.332 0.664 0.303
0.668 0.336 0.803
0.000 0.000 0.797
0.000 0.000 0.297
0.497 0.993 0.058
0.503 0.007 0.558
0.164 0.327 0.552
0.836 0.673 0.052
0.336 0.671 0.806
0.664 0.329 0.306
0.166 0.333 0.050
0.834 0.667 0.550


No. 10
CsCoPb2I | the Alexandria database | PBE-GGA | relaxed; space group = No. 123; raw total energy = -0.2515 Ry/atom
1.0
-3.483 -3.686 0.793
4.933 -4.709 -0.221
0.667 0.461 5.068
Pb Cs I Co
2 1 1 1
Direct
0.000 0.000 0.500
0.500 0.000 0.000
0.500 0.500 0.500
0.000 0.500 0.000
0.000 0.000 0.000